Compound: Cs2AcSbS4
Source: Alexandria via LeMat-Bulk
Functional: GGA-PBE
Structure: optimized geometry

Cell lengths 9.0074, 9.0074, 9.1440 Å; angles 120.50, 120.50, 89.85 degrees
With the nearest neighbours (Å) after each atom.
Fractional positions:
1 Sb 0.5000 0.5000 0.5000  6 S 2.87-2.90
2 Sb 0.0000 0.0000 0.0000  6 S 2.87-2.90
3 S 0.1914 0.7429 0.9671  1 Sb 2.87, 2 Ac 3.01
4 S 0.2429 0.6913 0.4671  1 Sb 2.87, 2 Ac 3.01
5 S 0.8087 0.2571 0.0329  1 Sb 2.87, 2 Ac 3.01
6 S 0.7571 0.3087 0.5329  1 Sb 2.87, 2 Ac 3.01
7 S 0.2355 0.2646 0.0466  2 Sb 2.90, 1 Ac 3.03
8 S 0.7645 0.7354 0.9534  2 Sb 2.90, 1 Ac 3.03
9 S 0.2354 0.2645 0.4534  2 Sb 2.90, 1 Ac 3.03
10 S 0.7646 0.7355 0.5466  2 Sb 2.90, 1 Ac 3.03
11 Cs 0.5000 0.0000 0.5000  6 S 3.39-3.41
12 Cs 0.0000 0.0000 0.5000  6 S 3.51-3.52
13 Cs 0.5000 0.5000 0.0000  6 S 3.51-3.52
14 Cs 0.5000 0.0000 0.0000  6 S 3.39-3.41
15 Ac 0.0000 0.5000 0.5000  6 S 3.01-3.03
16 Ac 0.0000 0.5000 0.0000  6 S 3.01-3.03

- space group = Imma (74)
- V (Å³/f.u.) = 259
- density (g/cm3) = 4.77
- formation energy (no corrections) (eV per atom) = -1.19